1.
## NaYF2 (GGA-PBE)

Data for NaYF2 after structural relaxation.

Output
Total magnetic moment in μB per formula unit: 0.0

abc: 7.5581 7.5581 7.5581
angles: 135.97 135.97 64.03
Closest atoms and distances in Å follow each position.
Sites, in units of the cell vectors:
Na1 0.0000 0.0000 0.0000  4 F 3.24
Na2 0.7500 0.2500 0.5000  4 F 3.24
Y1 0.2500 0.7500 0.5000  4 F 2.18
Y2 0.5000 0.5000 0.0000  4 F 2.18
F1 0.3043 0.6250 0.1793  2 Y 2.18
F2 0.3750 0.5543 0.6793  2 Y 2.18
F3 0.4457 0.1250 0.8207  2 Y 2.18
F4 0.8750 0.6957 0.3207  2 Y 2.18

2.
## NaYF2 (GGA-PBE)

Data for NaYF2 after structural relaxation.

Output
Total magnetic moment in μB per formula unit: 0.0

abc: 4.5096 4.5096 4.5096
angles: 60.00 60.00 60.00
Closest atoms and distances in Å follow each position.
Sites, in units of the cell vectors:
Na1 0.0000 0.0000 0.0000  8 F 2.76
Y1 0.5000 0.5000 0.5000  8 F 2.76
F1 0.2500 0.2500 0.2500  4 Na 2.76, 4 Y 2.76
F2 0.7500 0.7500 0.7500  4 Y 2.76, 4 Na 2.76

3.
## NaYF2 (GGA-PBE)

Data for NaYF2 after structural relaxation.

Output
Total magnetic moment in μB per formula unit: 0.0

abc: 7.0355 7.0355 7.0355
angles: 29.83 29.83 29.83
Closest atoms and distances in Å follow each position.
Sites, in units of the cell vectors:
Na1 0.0000 0.0000 0.0000  6 F 2.40
Y1 0.5000 0.5000 0.5000  2 F 2.17
F1 0.3922 0.3922 0.3922  1 Y 2.17, 3 Na 2.40
F2 0.6078 0.6078 0.6078  1 Y 2.17, 3 Na 2.40

Which of them is the most stable? Correct choice: 3.

1.
## NaYF3 (GGA-PBE)

Data for NaYF3 after structural relaxation.

Output
Total magnetic moment in μB per formula unit: 0.0

abc: 4.5079 4.5079 4.5079
angles: 90.00 90.00 90.00
Closest atoms and distances in Å follow each position.
Sites, in units of the cell vectors:
Na1 0.0000 0.0000 0.0000  12 F 3.19
Y1 0.5000 0.5000 0.5000  6 F 2.25
F1 0.0000 0.5000 0.5000  2 Y 2.25
F2 0.5000 0.0000 0.5000  2 Y 2.25
F3 0.5000 0.5000 0.0000  2 Y 2.25

2.
## NaYF3 (GGA-PBE)

Data for NaYF3 after structural relaxation.

Output
Total magnetic moment in μB per formula unit: 0.9

abc: 4.1107 4.1107 4.1107
angles: 90.00 90.00 90.00
Closest atoms and distances in Å follow each position.
Sites, in units of the cell vectors:
Na1 0.0000 0.0000 0.0000  6 F 2.06
Y1 0.5000 0.5000 0.5000  12 F 2.91
F1 0.0000 0.0000 0.5000  2 Na 2.06
F2 0.0000 0.5000 0.0000  2 Na 2.06
F3 0.5000 0.0000 0.0000  2 Na 2.06

Which of them is the most stable? Correct choice: 1.

1.
## Na3YF (GGA-PBE)

Data for Na3YF after structural relaxation.

Output
Total magnetic moment in μB per formula unit: 2.9

abc: 6.8240 6.8240 6.8240
angles: 90.00 90.00 90.00
Closest atoms and distances in Å follow each position.
Sites, in units of the cell vectors:
Na1 0.0000 0.0000 0.5000  2 Y 3.41
Na2 0.0000 0.5000 0.0000  2 Y 3.41
Na3 0.5000 0.0000 0.0000  2 Y 3.41
Y1 0.0000 0.0000 0.0000  6 Na 3.41
F1 0.5000 0.5000 0.5000  12 Na 4.83

2.
## Na3YF (GGA-PBE)

Data for Na3YF after structural relaxation.

Output
Total magnetic moment in μB per formula unit: 1.2

abc: 5.0878 5.0878 5.0878
angles: 90.00 90.00 90.00
Closest atoms and distances in Å follow each position.
Sites, in units of the cell vectors:
Na1 0.0000 0.0000 0.5000  2 F 2.54
Na2 0.0000 0.5000 0.0000  2 F 2.54
Na3 0.5000 0.0000 0.0000  2 F 2.54
Y1 0.5000 0.5000 0.5000  12 Na 3.60
F1 0.0000 0.0000 0.0000  6 Na 2.54

Which of them is the most stable? Correct choice: 2.

1.
## Na2ZnF2 (GGA-PBE)

Data for Na2ZnF2 after structural relaxation.

Output
Total magnetic moment in μB per formula unit: 0.0

abc: 6.7624 6.7624 6.7624
angles: 141.92 141.92 54.96
Closest atoms and distances in Å follow each position.
Sites, in units of the cell vectors:
Na1 0.2191 0.2191 0.0000  4 F 2.24
Na2 0.7809 0.7809 0.0000  4 F 2.24
Zn1 0.5000 0.5000 0.0000  2 Na 3.37, 8 F 3.72
F1 0.2500 0.7500 0.5000  4 Na 2.24
F2 0.7500 0.2500 0.5000  4 Na 2.24

2.
## Na2ZnF2 (GGA-PBE)

Data for Na2ZnF2 after structural relaxation.

Output
Total magnetic moment in μB per formula unit: 0.0

abc: 7.2475 7.2475 3.0035
angles: 90.00 90.00 90.00
Closest atoms and distances in Å follow each position.
Sites, in units of the cell vectors:
Na1 0.1310 0.3690 0.0000  4 F 2.46, 1 Na 2.69
Na2 0.3690 0.8690 0.0000  4 F 2.46, 1 Na 2.69
Na3 0.6310 0.1310 0.0000  4 F 2.46, 1 Na 2.69
Na4 0.8690 0.6310 0.0000  4 F 2.46, 1 Na 2.69
Zn1 0.0000 0.0000 0.0000  4 Na 2.84, 2 Zn 3.00
Zn2 0.5000 0.5000 0.0000  4 Na 2.84, 2 Zn 3.00
F1 0.1382 0.6382 0.5000  4 Na 2.46
F2 0.3618 0.1382 0.5000  4 Na 2.46
F3 0.6382 0.8618 0.5000  4 Na 2.46
F4 0.8618 0.3618 0.5000  4 Na 2.46

Which of them is the most stable? Correct choice: 1.

1.
## Na2Zn2F (GGA-PBE)

Data for Na2Zn2F after structural relaxation.

Output
Total magnetic moment in μB per formula unit: 0.0

abc: 8.6704 8.6704 8.6704
angles: 157.22 157.22 32.44
Closest atoms and distances in Å follow each position.
Sites, in units of the cell vectors:
Na1 0.0852 0.0852 0.0000  4 F 2.81, 1 Na 2.84
Na2 0.9148 0.9148 0.0000  4 F 2.81, 1 Na 2.84
Zn1 0.2500 0.7500 0.5000  4 Zn 2.42
Zn2 0.7500 0.2500 0.5000  4 Zn 2.42
F1 0.5000 0.5000 0.0000  8 Na 2.81

2.
## Na2Zn2F (GGA-PBE)

Data for Na2Zn2F after structural relaxation.

Output
Total magnetic moment in μB per formula unit: 0.0

abc: 6.0912 6.0912 5.8954
angles: 90.00 90.00 90.00
Closest atoms and distances in Å follow each position.
Sites, in units of the cell vectors:
Na1 0.1965 0.3035 0.0000  2 F 2.20
Na2 0.3035 0.8035 0.0000  2 F 2.20
Na3 0.6965 0.1965 0.0000  2 F 2.20
Na4 0.8035 0.6965 0.0000  2 F 2.20
Zn1 0.1560 0.6560 0.5000  1 Zn 2.69
Zn2 0.3440 0.1560 0.5000  1 Zn 2.69
Zn3 0.6560 0.8440 0.5000  1 Zn 2.69
Zn4 0.8440 0.3440 0.5000  1 Zn 2.69
F1 0.0000 0.0000 0.0000  4 Na 2.20
F2 0.5000 0.5000 0.0000  4 Na 2.20

Which of them is the most stable? Correct choice: 1.

1.
## NaZn3F (GGA-PBE)

Data for NaZn3F after structural relaxation.

Output
Total magnetic moment in μB per formula unit: 0.0

abc: 5.5650 5.5650 5.5650
angles: 90.00 90.00 90.00
Closest atoms and distances in Å follow each position.
Sites, in units of the cell vectors:
Na1 0.0000 0.0000 0.0000  6 Zn 2.78
Zn1 0.0000 0.0000 0.5000  2 Na 2.78
Zn2 0.0000 0.5000 0.0000  2 Na 2.78
Zn3 0.5000 0.0000 0.0000  2 Na 2.78
F1 0.5000 0.5000 0.5000  12 Zn 3.94

2.
## NaZn3F (GGA-PBE)

Data for NaZn3F after structural relaxation.

Output
Total magnetic moment in μB per formula unit: 0.0

abc: 4.7077 4.7077 4.7077
angles: 90.00 90.00 90.00
Closest atoms and distances in Å follow each position.
Sites, in units of the cell vectors:
Na1 0.0000 0.0000 0.0000  12 Zn 3.33
Zn1 0.0000 0.5000 0.5000  2 F 2.35
Zn2 0.5000 0.0000 0.5000  2 F 2.35
Zn3 0.5000 0.5000 0.0000  2 F 2.35
F1 0.5000 0.5000 0.5000  6 Zn 2.35

Which of them is the most stable? Correct choice: 2.

1.
## NaZn2F6 (GGA-PBE)

Data for NaZn2F6 after structural relaxation.

Output
Total magnetic moment in μB per formula unit: 1.1

abc: 5.3186 5.3186 4.9636
angles: 90.00 90.00 120.00
Closest atoms and distances in Å follow each position.
Sites, in units of the cell vectors:
Na1 0.0000 0.0000 0.0000  6 F 2.39
Zn1 0.3333 0.6667 0.5000  6 F 2.01
Zn2 0.6667 0.3333 0.5000  6 F 2.01
F1 0.0000 0.3651 0.7189  2 Zn 2.01
F2 0.0000 0.6349 0.2811  2 Zn 2.01
F3 0.3651 0.0000 0.7189  2 Zn 2.01
F4 0.3651 0.3651 0.2811  2 Zn 2.01
F5 0.6349 0.0000 0.2811  2 Zn 2.01
F6 0.6349 0.6349 0.7189  2 Zn 2.01

2.
## NaZn2F6 (GGA-PBE)

Data for NaZn2F6 after structural relaxation.

Output
Total magnetic moment in μB per formula unit: 1.1

abc: 4.6852 5.4979 8.9644
angles: 90.00 90.00 90.00
Closest atoms and distances in Å follow each position.
Sites, in units of the cell vectors:
Na1 0.0000 0.0000 0.0000  6 F 2.22-2.28
Na2 0.5000 0.5000 0.5000  6 F 2.22-2.28
Zn1 0.0000 0.5000 0.1807  6 F 1.97-2.09
Zn2 0.0000 0.5000 0.8193  6 F 1.97-2.09
Zn3 0.5000 0.0000 0.3193  6 F 1.97-2.09
Zn4 0.5000 0.0000 0.6807  6 F 1.97-2.09
F1 0.2078 0.3631 0.0000  2 Zn 2.03, 1 Na 2.22
F2 0.2443 0.3125 0.3170  2 Zn 1.97-2.09
F3 0.2443 0.3125 0.6830  2 Zn 1.97-2.09
F4 0.2557 0.8125 0.1830  2 Zn 1.97-2.09
F5 0.2557 0.8125 0.8170  2 Zn 1.97-2.09
F6 0.2922 0.8631 0.5000  2 Zn 2.03, 1 Na 2.22
F7 0.7078 0.1369 0.5000  2 Zn 2.03, 1 Na 2.22
F8 0.7443 0.1875 0.1830  2 Zn 1.97-2.09
F9 0.7443 0.1875 0.8170  2 Zn 1.97-2.09
F10 0.7557 0.6875 0.3170  2 Zn 1.97-2.09
F11 0.7557 0.6875 0.6830  2 Zn 1.97-2.09
F12 0.7922 0.6369 0.0000  2 Zn 2.03, 1 Na 2.22

Which of them is the most stable? Correct choice: 1.

1.
## NaZn2F (GGA-PBE)

Data for NaZn2F after structural relaxation.

Output
Total magnetic moment in μB per formula unit: 0.0

abc: 6.0897 6.0897 6.0897
angles: 98.59 98.59 134.53
Closest atoms and distances in Å follow each position.
Sites, in units of the cell vectors:
Na1 0.0000 0.0000 0.0000  2 F 2.35
Na2 0.7500 0.2500 0.5000  2 F 2.35
Zn1 0.1769 0.6250 0.0519  2 Zn 2.49, 2 F 2.60
Zn2 0.3750 0.4269 0.5519  2 Zn 2.49, 2 F 2.60
Zn3 0.5731 0.1250 0.9481  2 Zn 2.49, 2 F 2.60
Zn4 0.8750 0.8231 0.4481  2 Zn 2.49, 2 F 2.60
F1 0.2500 0.7500 0.5000  2 Na 2.35, 4 Zn 2.60
F2 0.5000 0.5000 0.0000  2 Na 2.35, 4 Zn 2.60

2.
## NaZn2F (GGA-PBE)

Data for NaZn2F after structural relaxation.

Output
Total magnetic moment in μB per formula unit: 0.0

abc: 4.8475 4.8475 4.8475
angles: 60.00 60.00 60.00
Closest atoms and distances in Å follow each position.
Sites, in units of the cell vectors:
Na1 0.0000 0.0000 0.0000  8 Zn 2.97
Zn1 0.2500 0.2500 0.2500  4 F 2.97, 4 Na 2.97
Zn2 0.7500 0.7500 0.7500  4 F 2.97, 4 Na 2.97
F1 0.5000 0.5000 0.5000  8 Zn 2.97

Which of them is the most stable? Correct choice: 1.